Below is Sc5Pb4 after structural relaxation, with properties calculated at the GGA-PBE level.

Structure (POSCAR):
```
Sc5Pb4
1.0
-4.944 4.944 2.364
4.944 -4.944 2.364
4.944 4.944 -2.364
Sc Pb
5 4
direct
0.000 0.000 0.000
0.329 0.329 0.658
0.329 0.671 0.000
0.671 0.329 0.000
0.671 0.671 0.342
0.000 0.303 0.303
0.000 0.697 0.697
0.303 0.000 0.303
0.697 0.000 0.697
```

Properties
* SG: No. 139
* relative energy among the computed polymorphs: 225.9 meV/atom

Below is ScPb5 after structural relaxation, with properties calculated at the GGA-PBE level.

Structure (POSCAR):
```
ScPb5
1.0
5.781 -1.759 0.000
5.781 1.759 0.000
-3.646 0.000 8.659
Sc Pb
1 5
direct
0.000 0.000 0.000
0.001 0.001 0.501
0.335 0.335 0.690
0.343 0.343 0.152
0.659 0.659 0.851
0.665 0.665 0.311
```

Properties
* SG: No. 8
* relative energy among the computed polymorphs: 1.9 meV/atom

Below is Sc2Pb after structural relaxation, with properties calculated at the GGA-PBE level.

Structure (POSCAR):
```
Sc2Pb
1.0
6.356 0.000 0.000
0.000 4.654 0.000
0.000 0.000 9.702
Sc Pb
8 4
direct
0.086 0.250 0.212
0.157 0.250 0.547
0.343 0.750 0.047
0.414 0.750 0.712
0.586 0.250 0.288
0.657 0.250 0.953
0.843 0.750 0.453
0.914 0.750 0.788
0.184 0.250 0.873
0.316 0.750 0.373
0.684 0.250 0.627
0.816 0.750 0.127
```

Properties
* SG: No. 62

Below is ScPb2 after structural relaxation, with properties calculated at the GGA-PBE level.

Structure (POSCAR):
```
ScPb2
1.0
-1.797 1.797 6.426
1.797 -1.797 6.426
1.797 1.797 -6.426
Sc Pb
1 2
direct
0.000 0.000 0.000
0.350 0.350 0.000
0.650 0.650 0.000
```

Properties
* SG: No. 139

Below is ScPb2 after structural relaxation, with properties calculated at the GGA-PBE level.

Structure (POSCAR):
```
ScPb2
1.0
0.000 3.570 3.570
3.570 0.000 3.570
3.570 3.570 0.000
Sc Pb
1 2
direct
0.000 0.000 0.000
0.250 0.250 0.250
0.750 0.750 0.750
```

Properties
* SG: No. 225

Below is Sc2Pb3 after structural relaxation, with properties calculated at the GGA-PBE level.

Structure (POSCAR):
```
Sc2Pb3
1.0
0.000 5.454 7.755
3.235 0.000 7.755
3.235 5.454 0.000
Sc Pb
4 6
direct
0.080 0.080 0.670
0.330 0.330 0.920
0.670 0.670 0.080
0.920 0.920 0.330
0.000 0.500 0.500
0.125 0.125 0.125
0.500 0.000 0.500
0.500 0.500 0.000
0.500 0.500 0.500
0.875 0.875 0.875
```

Properties
* SG: No. 70
* relative energy among the computed polymorphs: 17.5 meV/atom

ΔE_f / eV per atom: -0.18; -0.05; -0.38; -0.11; -0.03; -0.19